Entry 1:
Pm4Bi2Rh | PBE-GGA | relaxed

Cell: 12.0416 4.4994 8.9867 Å, 90.00 118.82 90.00°
With the nearest neighbours (Å) after each atom.
Sites, in units of the cell vectors:
Pm1 0.0693 0.0000 0.3474  1 Rh 2.82
Pm2 0.1622 0.5000 0.0534  2 Rh 2.86
Pm3 0.3378 0.0000 0.9466  2 Rh 2.86
Pm4 0.4307 0.5000 0.6526  1 Rh 2.82
Pm5 0.5693 0.5000 0.3474  1 Rh 2.82
Pm6 0.6622 0.0000 0.0534  2 Rh 2.86
Pm7 0.8378 0.5000 0.9466  2 Rh 2.86
Pm8 0.9307 0.0000 0.6526  1 Rh 2.82
Bi1 0.1547 0.5000 0.6632  8 Pm 3.32-3.48, 1 Bi 3.46
Bi2 0.3453 0.0000 0.3368  8 Pm 3.32-3.48, 1 Bi 3.46
Bi3 0.6547 0.0000 0.6632  8 Pm 3.32-3.48, 1 Bi 3.46
Bi4 0.8453 0.5000 0.3368  8 Pm 3.32-3.48, 1 Bi 3.46
Rh1 0.0000 0.0000 0.0000  6 Pm 2.82-2.86
Rh2 0.5000 0.5000 0.0000  6 Pm 2.82-2.86

Summary:
As for the size of the total moment: 0.00 μB per formula unit. For the theoretical density, the calculation gives 8.6 g cm⁻³. Its formation energy is -66.5 kJ/mol of atoms. The energy above the lowest structure with this stoichiometry comes out at 0.000 eV/atom. For the density of states at the Fermi level, the calculation gives 0.74 states/eV per atom.


Entry 2:
K2AgHg2 | PBE-GGA | relaxed

Cell: 9.3444 9.3444 4.4020 Å, 90.00 90.00 90.00°
With the nearest neighbours (Å) after each atom.
Sites, in units of the cell vectors:
K1 0.1774 0.3226 0.0000  2 Ag 3.44, 6 Hg 3.47-3.58
K2 0.3226 0.8226 0.0000  2 Ag 3.44, 6 Hg 3.47-3.58
K3 0.6774 0.1774 0.0000  2 Ag 3.44, 6 Hg 3.47-3.58
K4 0.8226 0.6774 0.0000  2 Ag 3.44, 6 Hg 3.47-3.58
Ag1 0.0000 0.0000 0.0000  4 K 3.44
Ag2 0.5000 0.5000 0.0000  4 K 3.44
Hg1 0.1197 0.6197 0.5000  1 Hg 3.16, 2 K 3.47
Hg2 0.3803 0.1197 0.5000  1 Hg 3.16, 2 K 3.47
Hg3 0.6197 0.8803 0.5000  1 Hg 3.16, 2 K 3.47
Hg4 0.8803 0.3803 0.5000  1 Hg 3.16, 2 K 3.47

Summary:
As for the size of the total moment: 0.00 μB per formula unit. For the theoretical density, the calculation gives 5.1 g cm⁻³. Its formation energy is 2.1 kJ/mol of atoms. The energy above the lowest structure with this stoichiometry comes out at 0.190 eV/atom. For the density of states at the Fermi level, the calculation gives 0.78 states/eV per atom.


Entry 3:
LiNd5Mg4 | PBE-GGA | relaxed

Cell: 3.8824 3.8824 19.3564 Å, 90.00 90.00 90.00°
With the nearest neighbours (Å) after each atom.
Sites, in units of the cell vectors:
Li1 0.0000 0.0000 0.0000  8 Nd 3.35
Nd1 0.5000 0.5000 0.0995  4 Mg 3.35, 4 Li 3.35
Nd2 0.5000 0.5000 0.2981  8 Mg 3.35-3.36
Nd3 0.5000 0.5000 0.5000  8 Mg 3.38
Nd4 0.5000 0.5000 0.7019  8 Mg 3.35-3.36
Nd5 0.5000 0.5000 0.9005  4 Mg 3.35, 4 Li 3.35
Mg1 0.0000 0.0000 0.1985  8 Nd 3.35
Mg2 0.0000 0.0000 0.3984  8 Nd 3.36-3.38
Mg3 0.0000 0.0000 0.6016  8 Nd 3.36-3.38
Mg4 0.0000 0.0000 0.8015  8 Nd 3.35

Summary:
As for the size of the total moment: 0.00 μB per formula unit. For the theoretical density, the calculation gives 4.7 g cm⁻³. Its formation energy is -6.5 kJ/mol of atoms. For the density of states at the Fermi level, the calculation gives 1.03 states/eV per atom.


- Number 1 is which compound?
  Pm4Bi2Rh